DFT (PBE-GGA) results for crystalline Rb2TlPt2 at its relaxed geometry.

a b c (Å): 7.6955 7.6955 7.6955
angles (deg): 142.46 142.46 54.14
With the nearest neighbours (Å) after each atom.
Fractional positions:
Rb (0.2500, 0.7500, 0.5000)  4 Pt 3.29, 4 Rb 3.50
Rb (0.7500, 0.2500, 0.5000)  4 Pt 3.29, 4 Rb 3.50
Tl (0.0000, 0.0000, 0.0000)  8 Pt 3.72
Pt (0.4082, 0.4082, 0.0000)  1 Pt 2.52
Pt (0.5918, 0.5918, 0.0000)  1 Pt 2.52

crystal system: tetragonal
excess energy over the best structure of this formula in the dataset: 588.7 meV per atom
VASP energy: -2.81 eV per atom